Computed, not measured: crystalline Ce7Ru2Au2 at its relaxed geometry at the PBE level of DFT.

Unit cell a=3.764 b=15.362 c=9.749 alpha=90.00 beta=90.00 gamma=90.00
Space group Imm2 (No. 44)
Inequivalent atoms, fractional coordinates:
Ce (0.000, 0.000, 0.000)
Ce (0.000, 0.130, 0.580)
Ce (0.000, 0.315, 0.363)
Ce (0.000, 0.353, 0.737)
Ru (0.000, 0.223, 0.053)
Au (0.000, 0.000, 0.333)
Au (0.000, 0.500, 0.234)

* formation enthalpy at 0 K: -0.3408 eV/atom
* total DFT energy (no corrections): -140.79 eV for the cell shown